i.
Density functional theory data (GGA-PBE) for a relaxed NaBeNb3 crystal.

* V: 18.882 Å³/atom

Cell: 4.5534 4.5534 4.5534 Å, 90.00 90.00 90.00°
Space group Pm-3m (No. 221)
One atom of each set of equivalent atoms:
Na  0.0000  0.0000  0.0000
Be  0.5000  0.5000  0.5000
Nb  0.0000  0.5000  0.5000

=====

ii.
Density functional theory data (GGA-PBE) for a relaxed NaBeNb3 crystal.

* V: 19.898 Å³/atom

Cell: 4.6337 4.6337 4.6337 Å, 90.00 90.00 90.00°
Space group Pm-3m (No. 221)
One atom of each set of equivalent atoms:
Na  0.0000  0.0000  0.0000
Be  0.5000  0.5000  0.5000
Nb  0.0000  0.0000  0.5000

=====

Which is the most stable structure? i is the most stable.

=====

i.
Density functional theory data (GGA-PBE) for a relaxed NaBeNb crystal.

* V: 17.243 Å³/atom

Cell: 7.9116 2.5266 10.3512 Å, 90.00 90.00 90.00°
Space group Pnma (No. 62)
One atom of each set of equivalent atoms:
Na  0.1608  0.2500  0.0787
Be  0.1595  0.2500  0.7910
Nb  0.0564  0.2500  0.3727

=====

ii.
Density functional theory data (GGA-PBE) for a relaxed NaBeNb crystal.

* V: 19.231 Å³/atom

Cell: 2.8407 3.3596 12.0903 Å, 90.00 90.19 90.00°
Space group Pm (No. 6)
One atom of each set of equivalent atoms:
Na  0.0000  0.0000  0.0000
Na  0.4890  0.5000  0.2732
Be  0.4977  0.5000  0.6111
Be  0.5006  0.5000  0.8267
Nb  0.9950  0.0000  0.4962
Nb  0.9993  0.0000  0.7267

=====

iii.
Density functional theory data (GGA-PBE) for a relaxed NaBeNb crystal.

* V: 20.024 Å³/atom

Cell: 2.8767 4.2747 9.8906 Å, 94.22 97.87 90.07°
Space group P-1 (No. 2)
One atom of each set of equivalent atoms:
Na  0.1831  0.2249  0.3647
Be  0.4569  0.8154  0.9064
Nb  0.0513  0.7020  0.1117

=====

Which is the most stable structure? ii is the most stable.

=====

i.
Density functional theory data (GGA-PBE) for a relaxed NaBe3Ni crystal.

* V: 13.900 Å³/atom

Cell: 4.1115 4.1115 4.1115 Å, 90.00 90.00 90.00°
Space group Pm-3m (No. 221)
One atom of each set of equivalent atoms:
Na  0.0000  0.0000  0.0000
Be  0.0000  0.5000  0.5000
Ni  0.5000  0.5000  0.5000

=====

ii.
Density functional theory data (GGA-PBE) for a relaxed NaBe3Ni crystal.

* V: 13.978 Å³/atom

Cell: 4.1191 4.1191 4.1191 Å, 90.00 90.00 90.00°
Space group Pm-3m (No. 221)
One atom of each set of equivalent atoms:
Na  0.0000  0.0000  0.0000
Be  0.0000  0.0000  0.5000
Ni  0.5000  0.5000  0.5000

=====

Which is the most stable structure? i is the most stable.

=====

i.
Density functional theory data (GGA-PBE) for a relaxed Na3BeO3 crystal.

* V: 11.935 Å³/atom

Cell: 6.5890 5.5503 9.1714 Å, 90.00 94.87 90.00°
Space group P2_1/c (No. 14)
One atom of each set of equivalent atoms:
Na  0.0579  0.1388  0.1482
Na  0.3414  0.6905  0.8025
Na  0.3770  0.2093  0.9309
Be  0.1441  0.5795  0.0522
O  0.0869  0.0585  0.3912
O  0.2575  0.6570  0.5380
O  0.3348  0.0334  0.6570

=====

ii.
Density functional theory data (GGA-PBE) for a relaxed Na3BeO3 crystal.

* V: 14.231 Å³/atom

Cell: 9.6625 9.6625 3.6961 Å, 90.00 90.00 120.00°
Space group R3m (No. 160, hexagonal axes)
One atom of each set of equivalent atoms:
Na  0.0155  0.5078  0.0000
Be  0.0000  0.0000  0.1518
O  0.1846  0.0923  0.1677

=====

Which is the most stable structure? i is the most stable.

=====

i.
Density functional theory data (GGA-PBE) for a relaxed Na2BeO2 crystal.

* V: 13.828 Å³/atom

Cell: 11.1042 4.3295 7.6695 Å, 90.00 131.41 90.00°
Space group C2/m (No. 12)
One atom of each set of equivalent atoms:
Na  0.0711  0.0000  0.2734
Na  0.1726  0.5000  0.0305
Be  0.1205  0.5000  0.6391
O  0.0306  0.5000  0.3720
O  0.2055  0.0000  0.1415

=====

ii.
Density functional theory data (GGA-PBE) for a relaxed Na2BeO2 crystal.

* V: 12.129 Å³/atom

Cell: 7.9243 5.3456 12.9533 Å, 90.00 117.85 90.00°
Space group P2_1/c (No. 14)
One atom of each set of equivalent atoms:
Na  0.0756  0.0557  0.1252
Na  0.1720  0.5591  0.2633
Na  0.3541  0.6672  0.5330
Na  0.4200  0.1144  0.6674
Be  0.0909  0.0429  0.4619
Be  0.2618  0.1206  0.3782
O  0.1292  0.6126  0.8593
O  0.1290  0.6337  0.0759
O  0.2480  0.2272  0.9790
O  0.3623  0.1968  0.3071

=====

Which is the most stable structure? ii is the most stable.

=====

i.
Density functional theory data (GGA-PBE) for a relaxed Na2BeSi2O6 crystal.

* V: 12.001 Å³/atom

Cell: 6.9390 21.3645 21.3710 Å, 90.00 90.00 90.00°
Space group Fdd2 (No. 43)
One atom of each set of equivalent atoms:
Na  0.0000  0.0000  0.0000
Na  0.0000  0.0000  0.3712
Na  0.0053  0.3260  0.9808
Na  0.0100  0.3424  0.3467
Be  0.0000  0.0000  0.1468
Be  0.0143  0.3318  0.1856
Si  0.0000  0.0000  0.5115
Si  0.0000  0.0000  0.8512
Si  0.0062  0.3169  0.4992
Si  0.0112  0.3496  0.8363
O  0.0457  0.1000  0.2791
O  0.0491  0.0608  0.5582
O  0.0537  0.0617  0.8913
O  0.0608  0.2353  0.0542
O  0.0622  0.2315  0.7213
O  0.0700  0.2771  0.4385
O  0.0790  0.4453  0.5991
O  0.0823  0.3837  0.2394
O  0.0824  0.3897  0.8958

=====

ii.
Density functional theory data (GGA-PBE) for a relaxed Na2BeSi2O6 crystal.

* V: 12.674 Å³/atom

Cell: 7.1123 21.3223 22.0640 Å, 90.00 90.00 90.00°
Space group Fddd (No. 70, origin choice 2)
One atom of each set of equivalent atoms:
Na  0.1099  0.2944  0.4384
Na  0.1250  0.1250  0.3157
Be  0.1250  0.1250  0.1250
Be  0.1250  0.3075  0.6250
Si  0.1148  0.2843  0.9492
Si  0.1250  0.1250  0.4687
O  0.0000  0.0000  0.0000
O  0.0147  0.3396  0.3296
O  0.0502  0.0162  0.3510
O  0.0590  0.3541  0.6815
O  0.0741  0.0631  0.7357

=====

Which is the most stable structure? i is the most stable.

=====

i.
Density functional theory data (GGA-PBE) for a relaxed NaBe2Os crystal.

* V: 12.282 Å³/atom

Cell: 5.8138 5.8138 5.8138 Å, 90.00 90.00 90.00°
Space group Fm-3m (No. 225)
One atom of each set of equivalent atoms:
Na  0.0000  0.0000  0.0000
Be  0.2500  0.2500  0.2500
Os  0.0000  0.0000  0.5000

=====

ii.
Density functional theory data (GGA-PBE) for a relaxed NaBe2Os crystal.

* V: 17.454 Å³/atom

Cell: 4.2871 4.2871 15.1945 Å, 90.00 90.00 90.00°
Space group I-42d (No. 122)
One atom of each set of equivalent atoms:
Na  0.0000  0.0000  0.0000
Be  0.0732  0.2500  0.6250
Os  0.0000  0.0000  0.5000

=====

Which is the most stable structure? i is the most stable.

=====

i.
Density functional theory data (GGA-PBE) for a relaxed Na3BeOs crystal.

* V: 26.672 Å³/atom

Cell: 5.1091 5.1091 5.1091 Å, 90.00 90.00 90.00°
Space group Pm-3m (No. 221)
One atom of each set of equivalent atoms:
Na  0.0000  0.0000  0.5000
Be  0.0000  0.0000  0.0000
Os  0.5000  0.5000  0.5000

=====

ii.
Density functional theory data (GGA-PBE) for a relaxed Na3BeOs crystal.

* V: 35.377 Å³/atom

Cell: 5.6134 5.6134 5.6134 Å, 90.00 90.00 90.00°
Space group Pm-3m (No. 221)
One atom of each set of equivalent atoms:
Na  0.0000  0.0000  0.5000
Be  0.5000  0.5000  0.5000
Os  0.0000  0.0000  0.0000

=====

Which is the most stable structure? i is the most stable.